The following is a DFT calculation (GGA-PBE) of a relaxed structure of SbTe2PIr.

```
SbTe2PIr
1.0
-3.486 -3.323 -1.640
1.966 -3.568 3.048
-3.047 1.412 3.617
Te Ir P Sb
2 1 1 1
Direct
0.000 0.500 0.000
0.500 0.000 0.000
0.500 0.500 0.500
0.000 0.000 0.000
0.000 0.000 0.500
```

- Total DFT energy (no corrections): -3.742 eV/atom
- Energy relative to the elements, uncorrected: 1.194 eV per atom
- SG: P4/mmm (123)
- Excess energy over the best structure of this formula in the dataset: 2.827 eV per formula unit
- Crystal system: tetragonal

The following is a DFT calculation (GGA-PBE) of a relaxed structure of ScPIr3.

```
ScPIr3
1.0
4.688 0.000 0.000
0.000 4.688 0.000
0.000 0.000 4.688
P Ir Sc
1 3 1
Direct
0.500 0.500 0.500
0.000 0.500 0.000
0.000 0.000 0.500
0.500 0.000 0.000
0.000 0.000 0.000
```

- Total DFT energy (no corrections): -5.859 eV/atom
- SG: Pm-3m (221)
- Excess energy over the best structure of this formula in the dataset: 9.566 eV per formula unit
- Crystal system: cubic

The following is a DFT calculation (GGA-PBE) of a relaxed structure of Sc2P2Ir5.

```
Sc2P2Ir5
1.0
-3.890 -0.191 1.046
1.059 -0.329 3.878
-0.207 8.448 0.774
Ir P Sc
5 2 2
Direct
0.000 0.500 0.263
0.500 0.000 0.263
0.500 0.000 0.737
0.500 0.500 0.500
0.000 0.500 0.737
0.500 0.500 0.130
0.500 0.500 0.870
0.000 0.000 0.000
0.000 0.000 0.500
```

- Total DFT energy (no corrections): -8.406 eV/atom
- SG: P4/mmm (123)
- Crystal system: tetragonal

The following is a DFT calculation (GGA-PBE) of a relaxed structure of Sc4PIr.

```
Sc4PIr
1.0
0.000 3.858 3.858
3.858 0.000 3.858
3.858 3.858 0.000
Sc Ir P
4 1 1
Direct
0.376 0.376 0.376
0.873 0.376 0.376
0.376 0.376 0.873
0.376 0.873 0.376
0.750 0.750 0.750
0.000 0.000 0.000
```

- Total DFT energy (no corrections): -6.305 eV/atom
- SG: F-43m (216)
- Crystal system: cubic

The following is a DFT calculation (GGA-PBE) of a relaxed structure of ScP2Ir3.

```
ScP2Ir3
1.0
-2.739 1.896 -1.919
-4.042 -6.030 3.664
0.601 7.188 6.243
Sc P Ir
3 6 9
Direct
0.847 0.694 0.310
0.000 0.000 0.000
0.153 0.306 0.690
0.803 0.605 0.869
0.364 0.728 0.545
0.197 0.395 0.131
0.455 0.911 0.220
0.545 0.089 0.780
0.636 0.272 0.455
0.966 0.931 0.687
0.775 0.551 0.609
0.322 0.643 0.054
0.624 0.249 0.203
0.225 0.449 0.391
0.034 0.069 0.313
0.376 0.751 0.797
0.500 0.000 0.500
0.678 0.357 0.946
```

- Total DFT energy (no corrections): -8.073 eV/atom
- SG: C2/m (12)
- Crystal system: monoclinic

The following is a DFT calculation (GGA-PBE) of a relaxed structure of Sc2PIr.

```
Sc2PIr
1.0
-4.279 -1.455 0.109
-3.400 2.936 -0.510
-2.471 -0.039 -3.785
Sc P Ir
2 1 1
Direct
0.000 0.000 0.000
0.250 0.250 0.250
0.750 0.750 0.750
0.500 0.500 0.500
```

- Total DFT energy (no corrections): -7.190 eV/atom
- SG: F-43m (216)
- Crystal system: cubic

The following is a DFT calculation (GGA-PBE) of a relaxed structure of Sc2PIr.

```
Sc2PIr
1.0
2.175 4.704 6.784
2.880 1.334 7.925
5.316 3.113 5.910
P Sc Ir
1 2 1
Direct
0.000 0.000 0.000
0.896 0.896 0.896
0.104 0.104 0.104
0.500 0.500 0.500
```

- Total DFT energy (no corrections): -6.909 eV/atom
- SG: R-3m (166)
- Crystal system: trigonal

The following is a DFT calculation (GGA-PBE) of a relaxed structure of Sc2PIr.

```
Sc2PIr
1.0
7.004 0.000 0.000
0.000 7.004 0.000
3.502 3.502 3.096
Sc Ir P
4 2 2
Direct
0.875 0.873 0.750
0.623 0.125 0.250
0.127 0.625 0.250
0.375 0.377 0.750
0.000 0.000 0.000
0.750 0.250 0.500
0.250 0.750 0.500
0.500 0.500 0.000
```

- Total DFT energy (no corrections): -7.277 eV/atom
- SG: I-42d (122)
- Crystal system: tetragonal

The following is a DFT calculation (GGA-PBE) of a relaxed structure of Sc2PIr.

```
Sc2PIr
1.0
2.190 4.023 2.610
-4.231 -3.143 0.107
2.008 -2.624 2.359
Sc Ir P
2 1 1
Direct
0.108 0.892 0.000
0.393 0.607 0.500
0.834 0.166 0.000
0.669 0.331 0.500
```

- Total DFT energy (no corrections): -7.871 eV/atom
- SG: Amm2 (38)
- Crystal system: orthorhombic

The following is a DFT calculation (GGA-PBE) of a relaxed structure of Sc3P4Ir4.

```
Sc3P4Ir4
1.0
-0.619 2.796 2.635
-6.644 0.033 -1.596
2.543 -5.836 3.917
Ir Sc P
4 3 4
Direct
0.672 0.466 0.344
0.328 0.122 0.656
0.672 0.878 0.344
0.328 0.534 0.656
0.881 0.881 0.763
0.119 0.119 0.237
0.000 0.500 0.000
0.221 0.721 0.441
0.779 0.279 0.559
0.500 0.193 0.000
0.500 0.807 0.000
```

- Total DFT energy (no corrections): -7.930 eV/atom
- SG: Immm (71)
- Crystal system: orthorhombic

The following is a DFT calculation (GGA-PBE) of a relaxed structure of Sc2PIr.

```
Sc2PIr
1.0
-2.855 -0.874 -2.319
0.131 -3.586 1.191
-3.540 1.171 3.917
Ir P Sc
1 1 2
Direct
0.500 0.500 0.000
0.000 0.000 0.500
0.000 0.000 0.000
0.500 0.500 0.500
```

- Total DFT energy (no corrections): -7.571 eV/atom
- SG: P4/mmm (123)
- Crystal system: tetragonal

The following is a DFT calculation (GGA-PBE) of a relaxed structure of Sc5P12Ir19.

```
Sc5P12Ir19
1.0
-8.036 -9.711 -0.866
11.917 -1.972 3.707
-1.067 0.551 3.724
Sc Ir P
5 19 12
Direct
0.000 0.819 0.500
0.181 0.181 0.500
0.667 0.333 0.000
0.333 0.667 0.000
0.819 0.000 0.500
0.372 0.181 0.000
0.505 0.864 0.500
0.181 0.372 0.000
0.864 0.505 0.500
0.628 0.809 0.000
0.819 0.191 0.000
0.715 0.715 0.500
0.136 0.642 0.500
0.809 0.628 0.000
0.465 0.000 0.000
0.358 0.495 0.500
0.191 0.819 0.000
0.642 0.136 0.500
0.000 0.000 0.000
0.000 0.465 0.000
0.495 0.358 0.500
0.000 0.285 0.500
0.285 0.000 0.500
0.535 0.535 0.000
0.353 0.353 0.000
0.824 0.824 0.000
0.000 0.176 0.000
0.516 0.687 0.500
0.647 0.000 0.000
0.176 0.000 0.000
0.829 0.313 0.500
0.687 0.516 0.500
0.000 0.647 0.000
0.484 0.171 0.500
0.171 0.484 0.500
0.313 0.829 0.500
```

- Total DFT energy (no corrections): -8.090 eV/atom
- SG: P-62m (189)
- Crystal system: hexagonal

What did the ninth record say?
The following is a DFT calculation (GGA-PBE) of a relaxed structure of Sc2PIr.

```
Sc2PIr
1.0
2.190 4.023 2.610
-4.231 -3.143 0.107
2.008 -2.624 2.359
Sc Ir P
2 1 1
Direct
0.108 0.892 0.000
0.393 0.607 0.500
0.834 0.166 0.000
0.669 0.331 0.500
```

- Total DFT energy (no corrections): -7.871 eV/atom
- SG: Amm2 (38)
- Crystal system: orthorhombic